Record 1
! Li6AlGa PBE relaxed; values from VASP
&SYSTEM
  ibrav = 0, nat = 8, ntyp = 3
/
ATOMIC_SPECIES
Li 6.94 Li.upf
Ga 69.72 Ga.upf
Al 26.98 Al.upf
ATOMIC_POSITIONS crystal
Li 0.500 0.852 0.585
Li 0.500 0.415 0.148
Li 0.000 0.564 0.436
Li 0.000 0.086 0.356
Li 0.500 0.943 0.057
Li 0.000 0.644 0.914
Ga 0.000 0.151 0.849
Al 0.500 0.343 0.657
CELL_PARAMETERS angstrom
4.358 0.000 0.000
0.000 5.436 1.012
0.000 -1.500 5.323
! space group	Amm2 (38)
! D(E_F)	2.4	states/eV per cell
! ΔH_f (0 K)	-0.158	eV/atom
! volume	16.59	Å³ per atom

Record 2
! Pm3Y2Ho6Sc PBE relaxed; values from VASP
&SYSTEM
  ibrav = 0, nat = 12, ntyp = 4
/
ATOMIC_SPECIES
Pm 145.00 Pm.upf
Ho 164.93 Ho.upf
Y 88.91 Y.upf
Sc 44.96 Sc.upf
ATOMIC_POSITIONS crystal
Pm 0.500 0.500 0.500
Pm 0.833 0.167 0.500
Pm 0.167 0.833 0.500
Ho 0.249 0.249 0.754
Ho 0.411 0.081 0.245
Ho 0.751 0.751 0.246
Ho 0.081 0.411 0.245
Ho 0.919 0.589 0.755
Ho 0.589 0.919 0.755
Y 0.666 0.334 0.000
Y 0.334 0.666 0.000
Sc 0.000 0.000 0.000
CELL_PARAMETERS angstrom
6.141 0.000 -0.004
-3.069 5.319 -0.004
-1.015 -1.758 11.550
! space group	C2/m (12)
! D(E_F)	17.0	states/eV per cell
! ΔH_f (0 K)	0.030	eV/atom
! volume	31.44	Å³ per atom

Record 3
! LaEr4Sc PBE relaxed; values from VASP
&SYSTEM
  ibrav = 0, nat = 12, ntyp = 3
/
ATOMIC_SPECIES
Er 167.26 Er.upf
La 138.91 La.upf
Sc 44.96 Sc.upf
ATOMIC_POSITIONS crystal
Er 0.964 0.842 0.257
Er 0.793 0.415 0.257
Er 0.367 0.904 0.616
Er 0.252 0.288 0.384
Er 0.207 0.585 0.743
Er 0.633 0.096 0.384
Er 0.748 0.712 0.616
Er 0.036 0.158 0.743
La 0.666 0.416 0.832
La 0.334 0.584 0.168
Sc 0.751 0.001 0.003
Sc 0.249 0.999 0.997
CELL_PARAMETERS angstrom
6.143 -1.177 0.000
-1.757 8.817 0.000
-2.193 -3.820 7.227
! space group	C2/c (15)
! offset from the most stable computed form	0.00	kcal/mol of atoms
! D(E_F)	22.5	states/eV per cell
! ΔH_f (0 K)	0.135	eV/atom
! volume	31.37	Å³ per atom

Record 4
! AcDyAs2Rh5 PBE relaxed; values from VASP
&SYSTEM
  ibrav = 0, nat = 9, ntyp = 4
/
ATOMIC_SPECIES
Rh 102.91 Rh.upf
Ac 227.00 Ac.upf
As 74.92 As.upf
Dy 162.50 Dy.upf
ATOMIC_POSITIONS crystal
Rh 0.000 0.500 0.181
Rh 0.500 0.000 0.819
Rh 0.500 0.500 0.500
Rh 0.000 0.500 0.819
Rh 0.500 0.000 0.181
Ac 0.000 0.000 0.500
As 0.500 0.500 0.715
As 0.500 0.500 0.285
Dy 0.000 0.000 0.000
CELL_PARAMETERS angstrom
4.145 0.000 0.000
0.000 4.145 0.000
0.000 0.000 11.174
! space group	P4/mmm (123)
! D(E_F)	4.0	states/eV per cell
! ΔH_f (0 K)	-0.603	eV/atom
! volume	21.33	Å³ per atom

Record 5
! MnAsSe2 PBE relaxed; values from VASP
&SYSTEM
  ibrav = 0, nat = 4, ntyp = 3
/
ATOMIC_SPECIES
As 74.92 As.upf
Se 78.96 Se.upf
Mn 54.94 Mn.upf
ATOMIC_POSITIONS crystal
As 0.000 0.000 0.579
Se 0.000 0.000 0.917
Se 0.500 0.500 0.256
Mn 0.500 0.500 0.748
CELL_PARAMETERS angstrom
2.810 0.000 0.000
-0.514 2.763 0.000
0.000 0.000 10.762
! space group	Cmm2 (35)
! D(E_F)	2.2	states/eV per cell
! volume	20.89	Å³ per atom
! E_form (uncorrected)	0.095	eV/atom

Record 6
! ScBiTe2 PBE relaxed; values from VASP
&SYSTEM
  ibrav = 0, nat = 4, ntyp = 3
/
ATOMIC_SPECIES
Bi 208.98 Bi.upf
Sc 44.96 Sc.upf
Te 127.60 Te.upf
ATOMIC_POSITIONS crystal
Bi 0.500 0.500 0.500
Sc 0.000 0.000 0.000
Te 0.099 0.099 0.099
Te 0.901 0.901 0.901
CELL_PARAMETERS angstrom
2.468 0.000 9.461
-1.234 2.137 9.461
-1.234 -2.137 9.461
! space group	R-3m (166)
! D(E_F)	2.9	states/eV per cell
! volume	37.42	Å³ per atom
! E_form (uncorrected)	-0.007	eV/atom

Record 7
! PaMn4Al8 PBE relaxed; values from VASP
&SYSTEM
  ibrav = 0, nat = 13, ntyp = 3
/
ATOMIC_SPECIES
Al 26.98 Al.upf
Mn 54.94 Mn.upf
Pa 231.04 Pa.upf
ATOMIC_POSITIONS crystal
Al 0.000 0.342 0.658
Al 0.277 0.223 0.223
Al 0.500 0.777 0.223
Al 0.658 0.342 0.342
Al 0.000 0.658 0.342
Al 0.723 0.777 0.777
Al 0.500 0.223 0.777
Al 0.342 0.658 0.658
Mn 0.500 0.500 0.000
Mn 0.000 0.500 0.000
Mn 0.000 0.000 0.500
Mn 0.500 0.000 0.500
Pa 0.000 0.000 0.000
CELL_PARAMETERS angstrom
-1.217 -3.283 3.766
5.126 -1.094 4.214
-2.497 3.110 5.414
! space group	I4/mmm (139)
! D(E_F)	9.7	states/eV per cell
! ΔH_f (0 K)	-0.305	eV/atom
! volume	15.27	Å³ per atom

Record 8
! ThP2Au PBE relaxed; values from VASP
&SYSTEM
  ibrav = 0, nat = 4, ntyp = 3
/
ATOMIC_SPECIES
P 30.97 P.upf
Th 232.04 Th.upf
Au 196.97 Au.upf
ATOMIC_POSITIONS crystal
P 0.106 0.106 0.682
P 0.894 0.894 0.318
Th 0.500 0.500 0.500
Au 0.000 0.000 0.000
CELL_PARAMETERS angstrom
-1.004 -2.337 -3.622
-3.207 -3.047 0.150
-6.261 3.226 -3.050
! space group	R-3m (166)
! D(E_F)	4.3	states/eV per cell
! ΔH_f (0 K)	-0.422	eV/atom
! volume	30.70	Å³ per atom

Record 9
! ZrZnHg PBE relaxed; values from VASP
&SYSTEM
  ibrav = 0, nat = 3, ntyp = 3
/
ATOMIC_SPECIES
Hg 200.59 Hg.upf
Zn 65.41 Zn.upf
Zr 91.22 Zr.upf
ATOMIC_POSITIONS crystal
Hg 0.500 0.500 0.500
Zn 0.750 0.750 0.750
Zr 0.000 0.000 0.000
CELL_PARAMETERS angstrom
-1.653 -2.513 3.309
-3.591 -2.566 -0.720
0.424 -4.449 -0.145
! space group	F-43m (216)
! offset from the most stable computed form	3.75	kcal/mol of atoms
! D(E_F)	1.4	states/eV per cell
! ΔH_f (0 K)	-0.007	eV/atom
! volume	21.07	Å³ per atom

Record 10
! PaTaTi2 PBE relaxed; values from VASP
&SYSTEM
  ibrav = 0, nat = 4, ntyp = 3
/
ATOMIC_SPECIES
Ti 47.87 Ti.upf
Ta 180.95 Ta.upf
Pa 231.04 Pa.upf
ATOMIC_POSITIONS crystal
Ti 0.000 0.000 0.232
Ti 0.000 0.000 0.768
Ta 0.500 0.500 0.000
Pa 0.500 0.500 0.500
CELL_PARAMETERS angstrom
3.326 0.000 0.000
0.000 3.326 0.000
0.000 0.000 6.884
! space group	P4/mmm (123)
! offset from the most stable computed form	1.06	kcal/mol of atoms
! D(E_F)	7.1	states/eV per cell
! ΔH_f (0 K)	0.140	eV/atom
! volume	19.04	Å³ per atom

Record 11
! KTl5Hg3 PBE relaxed; values from VASP
&SYSTEM
  ibrav = 0, nat = 18, ntyp = 3
/
ATOMIC_SPECIES
Tl 204.38 Tl.upf
Hg 200.59 Hg.upf
K 39.10 K.upf
ATOMIC_POSITIONS crystal
Tl 0.000 0.333 0.666
Tl 0.000 0.667 0.334
Tl 0.250 0.349 0.349
Tl 0.500 0.667 0.334
Tl 0.750 0.350 0.000
Tl 0.250 0.650 0.000
Tl 0.250 0.000 0.651
Tl 0.750 0.000 0.349
Tl 0.500 0.333 0.666
Tl 0.750 0.651 0.651
Hg 0.750 0.327 0.327
Hg 0.750 0.673 0.000
Hg 0.250 0.673 0.673
Hg 0.750 0.000 0.673
Hg 0.250 0.000 0.327
Hg 0.250 0.327 0.000
K 0.500 0.000 0.000
K 0.000 0.000 0.000
CELL_PARAMETERS angstrom
6.736 0.000 0.000
0.000 9.685 0.000
0.000 -4.842 8.372
! space group	Cmcm (63)
! offset from the most stable computed form	0.00	kcal/mol of atoms
! D(E_F)	7.9	states/eV per cell
! ΔH_f (0 K)	-0.066	eV/atom
! volume	30.34	Å³ per atom

Record 12
! Li2InW PBE relaxed; values from VASP
&SYSTEM
  ibrav = 0, nat = 4, ntyp = 3
/
ATOMIC_SPECIES
Li 6.94 Li.upf
In 114.82 In.upf
W 183.84 W.upf
ATOMIC_POSITIONS crystal
Li 0.000 0.000 0.000
Li 0.500 0.500 0.000
In 0.750 0.250 0.500
W 0.250 0.750 0.500
CELL_PARAMETERS angstrom
-4.610 3.425 -1.014
-5.162 -1.054 2.499
5.658 1.395 0.218
! space group	Immm (71)
! D(E_F)	2.8	states/eV per cell
! ΔH_f (0 K)	0.399	eV/atom
! volume	17.67	Å³ per atom

What is the volume in the fifth record? 20.89 Å³ per atom

Copy entry 11 word for word.
! KTl5Hg3 PBE relaxed; values from VASP
&SYSTEM
  ibrav = 0, nat = 18, ntyp = 3
/
ATOMIC_SPECIES
Tl 204.38 Tl.upf
Hg 200.59 Hg.upf
K 39.10 K.upf
ATOMIC_POSITIONS crystal
Tl 0.000 0.333 0.666
Tl 0.000 0.667 0.334
Tl 0.250 0.349 0.349
Tl 0.500 0.667 0.334
Tl 0.750 0.350 0.000
Tl 0.250 0.650 0.000
Tl 0.250 0.000 0.651
Tl 0.750 0.000 0.349
Tl 0.500 0.333 0.666
Tl 0.750 0.651 0.651
Hg 0.750 0.327 0.327
Hg 0.750 0.673 0.000
Hg 0.250 0.673 0.673
Hg 0.750 0.000 0.673
Hg 0.250 0.000 0.327
Hg 0.250 0.327 0.000
K 0.500 0.000 0.000
K 0.000 0.000 0.000
CELL_PARAMETERS angstrom
6.736 0.000 0.000
0.000 9.685 0.000
0.000 -4.842 8.372
! space group	Cmcm (63)
! offset from the most stable computed form	0.00	kcal/mol of atoms
! D(E_F)	7.9	states/eV per cell
! ΔH_f (0 K)	-0.066	eV/atom
! volume	30.34	Å³ per atom

D(E_F) of number 2 (Pm3Y2Ho6Sc)? 17.0 states/eV per cell